A relaxed HfCd3N crystal, computed with GGA-PBE.

The structure in extended XYZ format:
```
5
Lattice="-2.912 -1.848 -3.093 2.712 -3.743 -0.316 -2.373 -2.009 3.435" Properties=species:S:1:pos:R:3 pbc="T T T"
N 0.000 0.000 0.000
Cd -1.186 -1.004 1.717
Hf -1.287 -3.800 0.013
Cd 1.356 -1.872 -0.158
Cd -1.456 -0.924 -1.546
```

The value obtained for the energy above the most stable polymorph in this dataset is 0.000 eV per atom. Its symmetry is Pm-3m. The calculation puts the formation energy from raw total energies at 0.79 eV/atom.